A relaxed structure of Y2ThAu4. Source: the Alexandria database, functional PBE.

Cell: 7.3180 9.8411 5.1024 Å, 90.00 90.00 90.00°
Closest atoms and distances in Å follow each position.
Space group Cmmm (No. 65)
Symmetry-distinct sites (fractional):
Y: 0.0000 0.2123 0.0000 x4  8 Au 2.98-3.22
Th: 0.0000 0.5000 0.5000 x2  8 Au 2.98-3.07
Au: 0.2092 0.5000 0.0000 x4  2 Th 2.98, 4 Y 2.98-3.22, 1 Au 3.06
Au: 0.2500 0.2500 0.5000 x4  2 Th 3.07, 4 Y 3.16

Computed properties:
As for the electronic total energy: -5.43 eV/atom. The formation energy is -0.65 eV per atom. The calculation puts the density at 10.8 Mg/m³.

***

A relaxed structure of Y4ThAu5. Source: the Alexandria database, functional PBE.

Cell: 3.5859 3.5859 18.5392 Å, 90.00 90.00 90.00°
Closest atoms and distances in Å follow each position.
Space group P4/mmm (No. 123)
Symmetry-distinct sites (fractional):
Y: 0.0000 0.0000 0.0985 x2  8 Au 3.12
Y: 0.0000 0.0000 0.2946 x2  8 Au 3.09-3.12
Th: 0.0000 0.0000 0.5000 x1  8 Au 3.26, 4 Th 3.59
Au: 0.5000 0.5000 0.0000 x1  8 Y 3.12
Au: 0.5000 0.5000 0.1964 x2  8 Y 3.12
Au: 0.5000 0.5000 0.3896 x2  4 Y 3.09, 4 Th 3.26

Computed properties:
As for the electronic total energy: -5.77 eV/atom. The formation energy is -0.80 eV per atom. The calculation puts the density at 11.0 Mg/m³.

***

A relaxed structure of YThAu. Source: the Alexandria database, functional PBE.

Cell: 5.0002 5.0002 3.8783 Å, 90.00 90.00 120.00°
Closest atoms and distances in Å follow each position.
Space group P3m1 (No. 156)
Symmetry-distinct sites (fractional):
Y: 0.0000 0.0000 0.0000 x1  3 Au 2.95
Th: 0.3333 0.6667 0.5237 x1  3 Au 3.22, 6 Y 3.43-3.53
Au: 0.6667 0.3333 0.1582 x1  3 Y 2.95, 3 Th 3.22

Computed properties:
As for the electronic total energy: -5.93 eV/atom. The formation energy is -0.21 eV per atom. The calculation puts the density at 10.2 Mg/m³.

***

A relaxed structure of YThAu3. Source: the Alexandria database, functional PBE.

Cell: 3.5483 28.3218 4.6986 Å, 90.00 90.00 90.00°
Closest atoms and distances in Å follow each position.
Space group Cmcm (No. 63)
Symmetry-distinct sites (fractional):
Y: 0.0000 0.2075 0.2500 x4  7 Au 2.99-3.10
Th: 0.0000 0.0739 0.7500 x4  12 Au 3.25-3.57, 2 Th 3.55
Au: 0.0000 0.3169 0.2500 x4  2 Au 2.91, 5 Y 3.02-3.10
Au: 0.0000 0.3776 0.7500 x4  3 Au 2.76-2.91, 2 Y 2.99
Au: 0.0000 0.4750 0.7500 x4  3 Au 2.74-2.76

Computed properties:
As for the electronic total energy: -5.50 eV/atom. The formation energy is -0.76 eV per atom. The calculation puts the density at 12.8 Mg/m³.

***

Q: The highest electronic total energy belongs to which entry?
A: Y2ThAu4

***

Q: Among the records above, which one has the lowest density?
A: YThAu

***

Q: Among the records above, which one has the lowest density?
A: YThAu